1.
Hg3TeC after structural relaxation, computed with PBE.

ΔE_f (raw): 1.54 eV per atom

```
Hg3TeC
1.0
5.920 0.000 0.000
0.000 5.920 0.000
0.000 0.000 5.920
Hg Te C
3 1 1
direct
0.000 0.000 0.500
0.000 0.500 0.000
0.500 0.000 0.000
0.000 0.000 0.000
0.500 0.500 0.500
```

***

2.
Th4HgTe2C after structural relaxation, computed with PBE.

ΔE_f (raw): -0.61 eV per atom

```
Th4HgTe2C
1.0
7.671 0.000 0.000
0.000 4.040 0.000
-2.329 0.000 7.465
Th Hg Te C
4 1 2 1
direct
0.200 0.000 0.196
0.207 0.500 0.795
0.793 0.500 0.205
0.800 0.000 0.804
0.500 0.000 0.000
0.000 0.000 0.500
0.500 0.500 0.500
0.000 0.500 0.000
```

***

3.
TlHgTe2C after structural relaxation, computed with PBE.

ΔE_f (raw): 1.45 eV per atom

```
TlHgTe2C
1.0
6.112 0.000 0.000
0.000 6.112 0.000
0.000 0.000 4.137
Tl Hg Te C
1 1 2 1
direct
0.000 0.000 0.000
0.500 0.500 0.500
0.000 0.500 0.000
0.500 0.000 0.000
0.000 0.000 0.500
```

***

4.
Tl2HgTeC after structural relaxation, computed with PBE.

ΔE_f (raw): 0.99 eV per atom

```
Tl2HgTeC
1.0
6.420 0.000 0.000
0.000 6.420 0.000
0.000 0.000 4.213
Tl Hg Te C
2 1 1 1
direct
0.000 0.500 0.000
0.500 0.000 0.000
0.000 0.000 0.500
0.500 0.500 0.000
0.500 0.500 0.500
```

***

5.
Th2HgC after structural relaxation, computed with PBE.

calculated formation energy: -0.333 eV per atom

```
Th2HgC
1.0
1.860 1.074 8.143
-1.860 1.074 8.143
0.000 -2.148 8.143
Th Hg C
2 1 1
direct
0.000 0.000 0.000
0.215 0.215 0.215
0.441 0.441 0.441
0.609 0.609 0.609
```

***

6.
Th8HgC4 after structural relaxation, computed with PBE.

calculated formation energy: 0.031 eV per atom

```
Th8HgC4
1.0
0.000 5.602 5.602
5.602 0.000 5.602
5.602 5.602 0.000
Th Hg C
8 1 4
direct
0.396 0.396 0.396
0.396 0.396 0.812
0.396 0.812 0.396
0.416 0.861 0.861
0.812 0.396 0.396
0.861 0.416 0.861
0.861 0.861 0.416
0.861 0.861 0.861
0.250 0.250 0.250
0.111 0.630 0.630
0.630 0.111 0.630
0.630 0.630 0.111
0.630 0.630 0.630
```

***

7.
Th3HgC2 after structural relaxation, computed with PBE.

calculated formation energy: -0.102 eV per atom

```
Th3HgC2
1.0
6.484 0.000 0.000
0.000 3.682 0.000
0.000 0.000 11.120
Th Hg C
6 2 4
direct
0.000 0.000 0.000
0.006 0.500 0.278
0.494 0.500 0.278
0.500 0.000 0.000
0.506 0.500 0.722
0.994 0.500 0.722
0.250 0.000 0.518
0.750 0.000 0.482
0.250 0.000 0.196
0.250 0.500 0.891
0.750 0.000 0.804
0.750 0.500 0.109
```

***

8.
Th4HgC after structural relaxation, computed with PBE.

calculated formation energy: -0.089 eV per atom

```
Th4HgC
1.0
4.259 -7.301 0.000
4.259 7.301 0.000
-3.022 0.000 5.482
Th Hg C
8 2 2
direct
0.067 0.665 0.856
0.159 0.263 0.700
0.263 0.159 0.200
0.335 0.933 0.644
0.665 0.067 0.356
0.737 0.841 0.800
0.841 0.737 0.300
0.933 0.335 0.144
0.387 0.613 0.250
0.613 0.387 0.750
0.064 0.936 0.750
0.936 0.064 0.250
```

***

9.
Th3Hg2C2 after structural relaxation, computed with PBE.

calculated formation energy: -0.209 eV per atom

```
Th3Hg2C2
1.0
6.428 -1.831 0.000
6.428 1.831 0.000
-6.364 0.000 6.972
Th Hg C
3 2 2
direct
0.000 0.000 0.000
0.137 0.137 0.776
0.863 0.863 0.224
0.334 0.334 0.490
0.666 0.666 0.510
0.385 0.385 0.054
0.615 0.615 0.946
```

***

10.
Th2HgC after structural relaxation, computed with PBE.

calculated formation energy: -0.312 eV per atom

```
Th2HgC
1.0
1.862 1.075 8.195
-1.862 1.075 8.195
0.000 -2.151 8.195
Th Hg C
2 1 1
direct
0.225 0.225 0.225
0.775 0.775 0.775
0.000 0.000 0.000
0.500 0.500 0.500
```

***

11.
Th5Hg2C2 after structural relaxation, computed with PBE.

calculated formation energy: -0.127 eV per atom

```
Th5Hg2C2
1.0
6.509 -2.719 0.000
6.509 2.719 0.000
-0.954 0.000 6.718
Th Hg C
5 2 2
direct
0.000 0.000 0.000
0.152 0.152 0.546
0.332 0.332 0.100
0.668 0.668 0.900
0.848 0.848 0.454
0.426 0.426 0.673
0.574 0.574 0.327
0.170 0.170 0.891
0.830 0.830 0.109
```

***

12.
Th6Hg2C after structural relaxation, computed with PBE.

calculated formation energy: -0.098 eV per atom

```
Th6Hg2C
1.0
6.458 0.000 0.000
0.000 7.501 0.000
-5.874 0.000 10.647
Th Hg C
12 4 2
direct
0.106 0.023 0.236
0.106 0.477 0.736
0.188 0.696 0.041
0.188 0.804 0.541
0.375 0.179 0.034
0.375 0.321 0.534
0.625 0.679 0.466
0.625 0.821 0.966
0.812 0.196 0.459
0.812 0.304 0.959
0.894 0.523 0.264
0.894 0.977 0.764
0.354 0.101 0.749
0.354 0.399 0.249
0.646 0.601 0.751
0.646 0.899 0.251
0.000 0.000 0.000
0.000 0.500 0.500
```